A plane-wave DFT calculation with GGA-PBE was carried out for crystalline TbPaSn at its relaxed geometry.

Output
- total energy (eV for the cell shown) = -17.8
- total magnetic moment (Bohr magnetons per cell) = 0.002
- symmetry = P3m1
- offset from the most stable computed form (meV/atom) = 368

Cell lengths 5.2697, 5.2697, 3.1912 Å; angles 90.00, 90.00, 120.00 degrees
Positions (direct):
Tb1 0.0000 0.0000 0.0000
Pa1 0.6667 0.3333 0.0026
Sn1 0.3333 0.6667 0.5022